# 1
# YVZn3

An optimized crystal structure of YVZn3 (PBE-GGA, Alexandria).

Computed properties:
* energy of formation: 0.319 eV/atom
* magnetization: 2.187 μB per formula unit
* calculated volume: 21.33 Å³ per atom
* E: -3.5619 eV per atom
* energy above the most stable polymorph in this dataset: 0 meV/atom
* SG: Pm-3m, No. 221

a b c (Å): 4.7425 4.7425 4.7425
angles (deg): 90.00 90.00 90.00
Last column: magnetic moment on the atom in μB.
Sites, in units of the cell vectors:
Y: 0.5000 0.5000 0.5000  -0.14
Zn: 0.0000 0.5000 0.0000  0.07
Zn: 0.0000 0.0000 0.5000  0.07
Zn: 0.5000 0.0000 0.0000  0.07
V: 0.0000 0.0000 0.0000  2.02



# 2
# InWBr2

An optimized crystal structure of InWBr2 (PBE-GGA, Alexandria).

Computed properties:
* magnetization: 0.075 μB per formula unit
* calculated volume: 25.55 Å³ per atom
* E: -4.1342 eV per atom
* energy above the most stable polymorph in this dataset: 503 meV/atom
* uncorrected formation energy: 0.6251 eV/atom
* SG: P4/mmm, No. 123

a b c (Å): 3.1578 3.1583 10.2473
angles (deg): 90.00 90.00 90.00
Last column: magnetic moment on the atom in μB.
Sites, in units of the cell vectors:
Br: 0.0000 0.0000 0.9066  0.00
Br: 0.0000 0.0000 0.5934  0.00
W: 0.5000 0.5000 0.7500  0.06
In: 0.5000 0.5000 0.2500  0.00



# 3
# PmGa3IrRh

An optimized crystal structure of PmGa3IrRh (PBE-GGA, Alexandria).

Computed properties:
* energy of formation: -0.460 eV/atom
* magnetization: 0.000 μB per formula unit
* calculated volume: 21.01 Å³ per atom
* E: -5.4675 eV per atom
* SG: Cmcm, No. 63

a b c (Å): 5.8293 7.9716 6.7314
angles (deg): 126.31 90.00 90.00
Sites, in units of the cell vectors:
Pm: 0.7500 0.2524 0.5048
Pm: 0.2500 0.7476 0.4952
Ga: 0.2500 0.2472 0.4943
Ga: 0.0000 0.2530 0.0000
Ga: 0.5000 0.7470 0.0000
Ga: 0.5000 0.2530 0.0000
Ga: 0.0000 0.7470 0.0000
Ga: 0.7500 0.7528 0.5057
Ir: 0.2500 0.0305 0.0610
Ir: 0.7500 0.9695 0.9390
Rh: 0.2500 0.4616 0.9232
Rh: 0.7500 0.5384 0.0768



# 4
# CrCd2Au

An optimized crystal structure of CrCd2Au (PBE-GGA, Alexandria).

Computed properties:
* energy of formation: 0.119 eV/atom
* magnetization: 4.036 μB per formula unit
* calculated volume: 18.94 Å³ per atom
* E: -3.5636 eV per atom
* energy above the most stable polymorph in this dataset: 18 meV/atom
* SG: F-43m, No. 216

a b c (Å): 4.7494 4.7494 4.7494
angles (deg): 60.00 60.00 60.00
Last column: magnetic moment on the atom in μB.
Sites, in units of the cell vectors:
Au: 0.5000 0.5000 0.5000  0.02
Cd: 0.0000 0.0000 0.0000  0.00
Cd: 0.2500 0.2500 0.2500  -0.03
Cr: 0.7500 0.7500 0.7500  3.70



# 5
# Na2AgGe2

An optimized crystal structure of Na2AgGe2 (PBE-GGA, Alexandria).

Computed properties:
* energy of formation: -0.064 eV/atom
* magnetization: 0.000 μB per formula unit
* calculated volume: 22.17 Å³ per atom
* E: -3.0085 eV per atom
* energy above the most stable polymorph in this dataset: 0 meV/atom
* SG: P4/mbm, No. 127

a b c (Å): 6.7578 6.7578 4.8550
angles (deg): 90.00 90.00 90.00
Sites, in units of the cell vectors:
Na: 0.1743 0.6743 0.5000
Na: 0.6743 0.8257 0.5000
Na: 0.8257 0.3257 0.5000
Na: 0.3257 0.1743 0.5000
Ge: 0.3704 0.8704 0.0000
Ge: 0.8704 0.6296 0.0000
Ge: 0.6296 0.1296 0.0000
Ge: 0.1296 0.3704 0.0000
Ag: 0.0000 0.0000 0.0000
Ag: 0.5000 0.5000 0.0000



# 6
# NbPdSe2

An optimized crystal structure of NbPdSe2 (PBE-GGA, Alexandria).

Computed properties:
* magnetization: 0.930 μB per formula unit
* calculated volume: 24.49 Å³ per atom
* E: -5.8179 eV per atom
* energy above the most stable polymorph in this dataset: 321 meV/atom
* uncorrected formation energy: -0.2600 eV/atom
* SG: I-42d, No. 122

a b c (Å): 5.9082 5.9082 6.9964
angles (deg): 65.02 65.02 90.00
Last column: magnetic moment on the atom in μB.
Sites, in units of the cell vectors:
Nb: 0.5000 0.5000 0.0000  0.93
Nb: 0.2500 0.7500 0.5000  0.93
Se: 0.6215 0.1250 0.2500  -0.04
Se: 0.1285 0.6250 0.2500  -0.04
Se: 0.3750 0.3785 0.7500  -0.04
Se: 0.8750 0.8715 0.7500  -0.04
Pd: 0.0000 0.0000 0.0000  -0.08
Pd: 0.7500 0.2500 0.5000  -0.08



# 7
# VHgS2

An optimized crystal structure of VHgS2 (PBE-GGA, Alexandria).

Computed properties:
* magnetization: 0.954 μB per formula unit
* calculated volume: 20.41 Å³ per atom
* E: -4.8753 eV per atom
* uncorrected formation energy: -0.4565 eV/atom
* SG: Cmcm, No. 63

a b c (Å): 15.4645 15.4645 3.4753
angles (deg): 90.00 90.00 168.67
Last column: magnetic moment on the atom in μB.
Sites, in units of the cell vectors:
S: 0.2213 0.7787 0.2500  -0.06
S: 0.7787 0.2213 0.7500  -0.06
S: 0.8622 0.1378 0.2500  -0.07
S: 0.1378 0.8622 0.7500  -0.07
Hg: 0.0481 0.9519 0.2500  0.01
Hg: 0.9519 0.0481 0.7500  0.01
V: 0.3059 0.6941 0.2500  0.94
V: 0.6941 0.3059 0.7500  0.94



# 8
# ScTiCu2Ge

An optimized crystal structure of ScTiCu2Ge (PBE-GGA, Alexandria).

Computed properties:
* energy of formation: 0.464 eV/atom
* magnetization: 1.526 μB per formula unit
* calculated volume: 19.78 Å³ per atom
* E: -4.9431 eV per atom
* SG: P4/mmm, No. 123

a b c (Å): 4.4443 5.0068 4.4443
angles (deg): 90.00 90.00 90.00
Last column: magnetic moment on the atom in μB.
Sites, in units of the cell vectors:
Sc: 0.0000 0.5000 0.0000  0.09
Ge: 0.0000 0.0000 0.0000  -0.04
Cu: 0.0000 0.0000 0.5000  -0.01
Cu: 0.5000 0.0000 0.0000  -0.02
Ti: 0.5000 0.5000 0.5000  1.20



# 9
# Sm4ZnOs

An optimized crystal structure of Sm4ZnOs (PBE-GGA, Alexandria).

Computed properties:
* energy of formation: -0.187 eV/atom
* magnetization: 0.000 μB per formula unit
* calculated volume: 26.96 Å³ per atom
* E: -5.4169 eV per atom
* energy above the most stable polymorph in this dataset: 0 meV/atom
* SG: F-43m, No. 216

a b c (Å): 9.7079 9.7078 9.7078
angles (deg): 60.00 60.00 60.00
Sites, in units of the cell vectors:
Sm: 0.4014 0.4014 0.4014
Sm: 0.7958 0.4014 0.4014
Sm: 0.4014 0.7958 0.4014
Sm: 0.4014 0.4014 0.7958
Sm: 0.5564 0.5564 0.9436
Sm: 0.9436 0.9436 0.5564
Sm: 0.5564 0.9436 0.5564
Sm: 0.9436 0.5564 0.9436
Sm: 0.9436 0.5564 0.5564
Sm: 0.5564 0.9436 0.9436
Sm: 0.1900 0.1900 0.8100
Sm: 0.8100 0.8100 0.1900
Sm: 0.1900 0.8100 0.1900
Sm: 0.8100 0.1900 0.8100
Sm: 0.8100 0.1900 0.1900
Sm: 0.1900 0.8100 0.8100
Zn: 0.1737 0.1737 0.1737
Zn: 0.4788 0.1737 0.1737
Zn: 0.1737 0.4788 0.1737
Zn: 0.1737 0.1737 0.4788
Os: 0.6117 0.6117 0.6117
Os: 0.1649 0.6117 0.6117
Os: 0.6117 0.1649 0.6117
Os: 0.6117 0.6117 0.1649



# 10
# Ca2TmAgSe4

An optimized crystal structure of Ca2TmAgSe4 (PBE-GGA, Alexandria).

Computed properties:
* magnetization: 0.000 μB per formula unit
* calculated volume: 25.12 Å³ per atom
* E: -4.7194 eV per atom
* uncorrected formation energy: -1.5614 eV/atom
* SG: P2/m, No. 10

a b c (Å): 4.1527 7.2026 7.1354
angles (deg): 109.67 90.00 90.00
Sites, in units of the cell vectors:
Ca: 0.5000 0.0000 0.5000
Ca: 0.0000 0.5000 0.5000
Tm: 0.5000 0.5000 0.0000
Ag: 0.0000 0.0000 0.0000
Se: 0.5000 0.2536 0.2395
Se: 0.5000 0.7464 0.7605
Se: 0.0000 0.2619 0.7579
Se: 0.0000 0.7381 0.2421



# 11
# Rb2Bi2Pd

An optimized crystal structure of Rb2Bi2Pd (PBE-GGA, Alexandria).

Computed properties:
* energy of formation: -0.247 eV/atom
* magnetization: 0.000 μB per formula unit
* calculated volume: 34.54 Å³ per atom
* E: -3.2255 eV per atom
* SG: P4/mbm, No. 127

a b c (Å): 7.4349 7.4349 6.2489
angles (deg): 90.00 90.00 90.00
Sites, in units of the cell vectors:
Rb: 0.1695 0.6695 0.5000
Rb: 0.6695 0.8305 0.5000
Rb: 0.8305 0.3305 0.5000
Rb: 0.3305 0.1695 0.5000
Bi: 0.3502 0.8502 0.0000
Bi: 0.8502 0.6498 0.0000
Bi: 0.6498 0.1498 0.0000
Bi: 0.1498 0.3502 0.0000
Pd: 0.0000 0.0000 0.0000
Pd: 0.5000 0.5000 0.0000